1.
Entry from Alexandria via LeMat-Bulk: crystalline CaAlIn at its relaxed geometry (PBE-GGA).

Results
Its formation energy is -0.312 eV/atom. As for the uncorrected energy: -37.678 eV per cell. As for the crystal system: orthorhombic.

a b c (Å): 5.7693 6.0720 8.3260
angles (deg): 90.00 90.00 90.00
Closest atoms and distances in Å follow each position.
Space group Imma (No. 74)
Unique sites:
Ca  0.0000  0.2500  0.1206 (multiplicity 4)  6 Al 3.41-3.53, 6 In 3.41-3.50, 4 Ca 3.60-3.64
Al  0.2500  0.2500  0.7500 (multiplicity 4)  2 Al 2.88, 4 In 2.95
In  0.0000  0.0000  0.5000 (multiplicity 4)  4 Al 2.95, 2 In 3.04

=====

2.
Entry from Alexandria via LeMat-Bulk: crystalline LaYHo3Sc at its relaxed geometry (PBE-GGA).

Results
Its formation energy is 0.060 eV/atom. As for the uncorrected energy: -62.187 eV per cell. As for the crystal system: monoclinic.

a b c (Å): 9.2443 3.6467 11.6178
angles (deg): 90.00 106.26 90.00
Closest atoms and distances in Å follow each position.
Space group P2_1/m (No. 11)
Unique sites:
La  0.0425  0.2500  0.1467 (multiplicity 2)  2 Sc 3.48, 4 La 3.65-3.75, 2 Y 3.69, 3 Ho 3.74-3.75
Y  0.4036  0.7500  0.2104 (multiplicity 2)  7 Ho 3.44-3.48, 2 Y 3.65, 2 La 3.69
Ho  0.2680  0.7500  0.6778 (multiplicity 2)  3 Sc 3.29-3.31, 2 Y 3.47, 6 Ho 3.51-3.65
Ho  0.3249  0.2500  0.9448 (multiplicity 2)  3 Y 3.48, 6 Ho 3.51-3.65, 2 La 3.74
Ho  0.3408  0.2500  0.4424 (multiplicity 2)  2 Sc 3.24, 4 Ho 3.40-3.51, 2 Y 3.44
Sc  0.0405  0.7500  0.4018 (multiplicity 2)  2 Sc 3.17, 5 Ho 3.24-3.31, 2 La 3.48

=====

3.
Entry from Alexandria via LeMat-Bulk: crystalline Dy5Er2Sn4 at its relaxed geometry (PBE-GGA).

Results
Its formation energy is -0.384 eV/atom. As for the uncorrected energy: -104.750 eV per cell. As for the crystal system: monoclinic.

a b c (Å): 21.0264 4.3284 7.6427
angles (deg): 90.00 103.56 90.00
Closest atoms and distances in Å follow each position.
Space group C2/m (No. 12)
Unique sites:
Dy  0.0000  0.0000  0.0000 (multiplicity 2)  4 Sn 3.07
Dy  0.1434  0.5000  0.9612 (multiplicity 4)  3 Sn 3.15-3.23, 2 Er 3.50
Dy  0.1771  0.5000  0.4559 (multiplicity 4)  4 Sn 3.09-3.19
Er  0.0730  0.0000  0.6087 (multiplicity 4)  5 Sn 3.01-3.23, 1 Er 3.13
Sn  0.0272  0.5000  0.2924 (multiplicity 4)  3 Dy 3.07-3.11, 4 Er 3.22-3.23
Sn  0.2181  0.0000  0.7679 (multiplicity 4)  1 Er 3.01, 6 Dy 3.09-3.23

=====

4.
Entry from Alexandria via LeMat-Bulk: crystalline Ba2CeAgPd6 at its relaxed geometry (PBE-GGA).

Results
Its formation energy is -0.144 eV/atom. As for the uncorrected energy: -180.911 eV per cell. As for the crystal system: cubic.

a b c (Å): 10.2371 10.2371 10.2371
angles (deg): 90.00 90.00 90.00
Closest atoms and distances in Å follow each position.
Space group Fm-3m (No. 225)
Unique sites:
Ba  0.2500  0.2500  0.2500 (multiplicity 8)  12 Pd 3.62
Ce  0.0000  0.0000  0.0000 (multiplicity 4)  6 Pd 2.52
Ag  0.0000  0.0000  0.5000 (multiplicity 4)  6 Pd 2.60
Pd  0.0000  0.0000  0.2459 (multiplicity 24)  1 Ce 2.52, 1 Ag 2.60

=====

5.
Entry from Alexandria via LeMat-Bulk: crystalline Sm3Er4Pu at its relaxed geometry (PBE-GGA).

Results
Its formation energy is 0.154 eV/atom. As for the uncorrected energy: -91.025 eV per cell. As for the crystal system: orthorhombic.

a b c (Å): 3.4141 11.5566 12.8137
angles (deg): 90.00 90.00 90.00
Closest atoms and distances in Å follow each position.
Space group Immm (No. 71)
Unique sites:
Sm  0.0000  0.0000  0.0000 (multiplicity 2)  6 Sm 3.41-3.78, 8 Er 3.78
Sm  0.0000  0.5000  0.2365 (multiplicity 4)  6 Er 3.36-3.59, 2 Sm 3.41, 2 Pu 3.48
Er  0.0000  0.2476  0.3675 (multiplicity 8)  1 Pu 3.33, 3 Sm 3.36-3.59, 5 Er 3.40-3.46
Pu  0.0000  0.0000  0.5000 (multiplicity 2)  4 Er 3.33, 2 Pu 3.41, 4 Sm 3.48

=====

6.
Entry from Alexandria via LeMat-Bulk: crystalline AcLaN at its relaxed geometry (PBE-GGA).

Results
As for the uncorrected energy: -72.146 eV per cell. Its uncorrected formation energy is -0.7 eV per formula unit. As for the crystal system: cubic.

a b c (Å): 6.5264 6.5264 6.5264
angles (deg): 90.00 90.00 90.00
Closest atoms and distances in Å follow each position.
Space group F-43m (No. 216)
Unique sites:
Ac  0.0000  0.0000  0.0000 (multiplicity 4)  4 N 2.83
La  0.0000  0.0000  0.5000 (multiplicity 4)  4 N 2.83
N  0.2500  0.2500  0.7500 (multiplicity 4)  4 Ac 2.83, 4 La 2.83

=====

7.
Entry from Alexandria via LeMat-Bulk: crystalline Ac3AgPd3 at its relaxed geometry (PBE-GGA).

Results
Its formation energy is -0.683 eV/atom. As for the uncorrected energy: -142.149 eV per cell. As for the crystal system: monoclinic.

a b c (Å): 12.0925 4.3589 15.4600
angles (deg): 90.00 110.41 90.00
Closest atoms and distances in Å follow each position.
Space group C2/m (No. 12)
Unique sites:
Ac  0.0295  0.0000  0.3859 (multiplicity 4)  6 Pd 3.21-3.23, 3 Ag 3.25-3.56
Ac  0.1013  0.0000  0.9229 (multiplicity 4)  7 Pd 3.15-3.48
Ac  0.2354  0.0000  0.2290 (multiplicity 4)  6 Pd 3.15-3.43, 2 Ag 3.41
Ag  0.2339  0.5000  0.3985 (multiplicity 4)  4 Pd 2.75-3.07
Pd  0.0161  0.5000  0.2286 (multiplicity 4)  1 Ag 3.00, 1 Pd 3.04, 4 Ac 3.15-3.23
Pd  0.1201  0.5000  0.5479 (multiplicity 4)  3 Ag 2.75-3.07, 1 Pd 2.76
Pd  0.1227  0.5000  0.0770 (multiplicity 4)  2 Pd 3.04-3.09, 5 Ac 3.15-3.34

=====

8.
Entry from Alexandria via LeMat-Bulk: crystalline Re2AgSe at its relaxed geometry (PBE-GGA).

Results
As for the uncorrected energy: -53.698 eV per cell. Its uncorrected formation energy is 4.4 eV per formula unit. As for the crystal system: tetragonal.

a b c (Å): 3.8191 3.8191 9.1465
angles (deg): 90.00 90.00 90.00
Closest atoms and distances in Å follow each position.
Space group I4/mmm (No. 139)
Unique sites:
Re  0.0000  0.5000  0.2500 (multiplicity 4)  4 Re 2.70, 4 Se 2.98, 4 Ag 2.98
Ag  0.0000  0.0000  0.0000 (multiplicity 2)  4 Se 2.70, 8 Re 2.98
Se  0.0000  0.0000  0.5000 (multiplicity 2)  4 Ag 2.70, 8 Re 2.98

=====

9.
Entry from Alexandria via LeMat-Bulk: crystalline GaHAu at its relaxed geometry (PBE-GGA).

Results
As for the uncorrected energy: -8.821 eV per cell. As for the crystal system: hexagonal.

a b c (Å): 3.7265 3.7265 3.5539
angles (deg): 90.00 90.00 120.00
Closest atoms and distances in Å follow each position.
Space group P-6m2 (No. 187)
Unique sites:
Ga  0.0000  0.0000  0.0000 (multiplicity 1)  6 H 2.79, 6 Au 2.79
H  0.6667  0.3333  0.5000 (multiplicity 1)  3 Au 2.15
Au  0.3333  0.6667  0.5000 (multiplicity 1)  3 H 2.15

=====

10.
Entry from Alexandria via LeMat-Bulk: crystalline Ba2SiSbO at its relaxed geometry (PBE-GGA).

Results
As for the uncorrected energy: -22.091 eV per cell. Its uncorrected formation energy is -3.7 eV per formula unit. As for the crystal system: tetragonal.

a b c (Å): 6.3832 6.3832 3.7564
angles (deg): 90.00 90.00 90.00
Closest atoms and distances in Å follow each position.
Space group P4/mmm (No. 123)
Unique sites:
Ba  0.0000  0.5000  0.0000 (multiplicity 2)  2 Si 3.19
Si  0.0000  0.0000  0.0000 (multiplicity 1)  2 O 1.88
Sb  0.5000  0.5000  0.5000 (multiplicity 1)  8 Ba 3.70, 2 Sb 3.76
O  0.0000  0.0000  0.5000 (multiplicity 1)  2 Si 1.88

=====

11.
Entry from Alexandria via LeMat-Bulk: crystalline ScAlCd at its relaxed geometry (PBE-GGA).

Results
Its formation energy is -0.302 eV/atom. As for the uncorrected energy: -47.583 eV per cell. As for the crystal system: monoclinic.

a b c (Å): 4.7044 8.1548 6.3208
angles (deg): 90.00 90.23 90.00
Closest atoms and distances in Å follow each position.
Space group C2/m (No. 12)
Unique sites:
Sc  0.0001  0.0000  0.2414 (multiplicity 4)  2 Sc 3.05-3.27, 6 Al 3.11-3.12, 6 Cd 3.17-3.18
Al  0.0000  0.3335  0.0000 (multiplicity 4)  3 Al 2.72
Cd  0.0000  0.3333  0.5000 (multiplicity 4)  3 Cd 2.72

=====

12.
Entry from Alexandria via LeMat-Bulk: crystalline AcPr2Au6 at its relaxed geometry (PBE-GGA).

Results
Its formation energy is -0.771 eV/atom. As for the uncorrected energy: -40.267 eV per cell. As for the crystal system: hexagonal.

a b c (Å): 8.3320 8.3320 3.7191
angles (deg): 90.00 90.00 120.00
Closest atoms and distances in Å follow each position.
Space group P6/mmm (No. 191)
Unique sites:
Ac  0.0000  0.0000  0.0000 (multiplicity 1)  12 Au 3.35, 2 Ac 3.72
Pr  0.3333  0.6667  0.0000 (multiplicity 2)  12 Au 3.34, 2 Pr 3.72
Au  0.0000  0.3351  0.5000 (multiplicity 6)  3 Au 2.75-2.79